Below is a relaxed Cs3K2Na2 crystal, with properties calculated at the PBE level.

a = 7.235 Å, b = 8.385 Å, c = 9.694 Å
α = 91.31°, β = 89.73°, γ = 66.45°
Atoms (fractional coordinates):
Cs: 0.302 0.398 0.197
Cs: 0.000 0.000 0.000
Cs: 0.698 0.602 0.803
K: 0.618 0.782 0.335
K: 0.382 0.218 0.665
Na: 0.117 0.784 0.561
Na: 0.883 0.216 0.439

ΔE_f in eV per atom: 0.03
Total DFT energy (no corrections) in eV per atom: -1.030
DOS(E_F) in states/eV per cell: 5.871
Space group: P-1